Crystalline Be2VCr2 at its relaxed geometry. Source: Alexandria, functional GGA-PBE.

Computed properties:
D(E_F)	0.42	states/eV/atom

Geometry as CIF:
```
data_Be2VCr2
_symmetry_space_group_name_H-M 'P 4/m b m'
_symmetry_Int_Tables_number 127
_symmetry_space_group_name_Hall '-P 4 2ab'
_cell_length_a 5.918
_cell_length_b 5.918
_cell_length_c 2.959
_cell_angle_alpha 90.00
_cell_angle_beta 90.00
_cell_angle_gamma 90.00
loop_
_atom_site_label
_atom_site_type_symbol
_atom_site_fract_x
_atom_site_fract_y
_atom_site_fract_z
Be1 Be 0.119 0.381 0.000
V1 V 0.000 0.000 0.000
Cr1 Cr 0.177 0.677 0.500
```


Crystalline BeV2Cr at its relaxed geometry. Source: Alexandria, functional GGA-PBE.

Computed properties:
D(E_F)	1.08	states/eV/atom

Geometry as CIF:
```
data_BeV2Cr
_symmetry_space_group_name_H-M 'I -4 2 d'
_symmetry_Int_Tables_number 122
_symmetry_space_group_name_Hall 'I -4 2bw'
_cell_length_a 6.386
_cell_length_b 6.386
_cell_length_c 4.822
_cell_angle_alpha 90.00
_cell_angle_beta 90.00
_cell_angle_gamma 90.00
loop_
_atom_site_label
_atom_site_type_symbol
_atom_site_fract_x
_atom_site_fract_y
_atom_site_fract_z
Be1 Be 0.000 0.000 0.000
V1 V 0.248 0.250 0.125
Cr1 Cr 0.000 0.000 0.500
```


Crystalline BeV3Cr at its relaxed geometry. Source: Alexandria, functional GGA-PBE.

Computed properties:
polymorph energy (0 for the lowest one)	0.285	eV per atom
D(E_F)	0.69	states/eV/atom

Geometry as CIF:
```
data_BeV3Cr
_symmetry_space_group_name_H-M 'P m -3 m'
_symmetry_Int_Tables_number 221
_symmetry_space_group_name_Hall '-P 4 2 3'
_cell_length_a 4.256
_cell_length_b 4.256
_cell_length_c 4.256
_cell_angle_alpha 90.00
_cell_angle_beta 90.00
_cell_angle_gamma 90.00
loop_
_atom_site_label
_atom_site_type_symbol
_atom_site_fract_x
_atom_site_fract_y
_atom_site_fract_z
Be1 Be 0.000 0.000 0.000
V1 V 0.000 0.500 0.500
Cr1 Cr 0.500 0.500 0.500
```


Crystalline BeV5Cr4 at its relaxed geometry. Source: Alexandria, functional GGA-PBE.

Computed properties:
D(E_F)	0.77	states/eV/atom

Geometry as CIF:
```
data_BeV5Cr4
_symmetry_space_group_name_H-M 'P 4/m m m'
_symmetry_Int_Tables_number 123
_symmetry_space_group_name_Hall '-P 4 2'
_cell_length_a 2.923
_cell_length_b 2.923
_cell_length_c 14.094
_cell_angle_alpha 90.00
_cell_angle_beta 90.00
_cell_angle_gamma 90.00
loop_
_atom_site_label
_atom_site_type_symbol
_atom_site_fract_x
_atom_site_fract_y
_atom_site_fract_z
Be1 Be 0.000 0.000 0.000
V1 V 0.500 0.500 0.093
V2 V 0.500 0.500 0.294
V3 V 0.500 0.500 0.500
Cr1 Cr 0.000 0.000 0.190
Cr2 Cr 0.000 0.000 0.397
```


Crystalline Be8VCr3 at its relaxed geometry. Source: Alexandria, functional GGA-PBE.

Computed properties:
D(E_F)	0.29	states/eV/atom

Geometry as CIF:
```
data_Be8VCr3
_symmetry_space_group_name_H-M 'P 3 m 1'
_symmetry_Int_Tables_number 156
_cell_length_a 4.2588
_cell_length_b 4.2588
_cell_length_c 6.9527
_cell_angle_alpha 90.00
_cell_angle_beta 90.00
_cell_angle_gamma 120.00
loop_
_symmetry_equiv_pos_as_xyz
'x,y,z'
'-y,x-y,z'
'-x+y,-x,z'
'-y,-x,z'
'-x+y,y,z'
'x,x-y,z'
loop_
_atom_site_label
_atom_site_type_symbol
_atom_site_fract_x
_atom_site_fract_y
_atom_site_fract_z
Be1 Be 0.0000 0.0000 0.0000
Be2 Be 0.0000 0.0000 0.5004
Be3 Be 0.1700 0.3400 0.2517
Be4 Be 0.3395 0.1698 0.7498
V1 V 0.6667 0.3333 0.0645
Cr1 Cr 0.3333 0.6667 0.5649
Cr2 Cr 0.3333 0.6667 0.9332
Cr3 Cr 0.6667 0.3333 0.4388
```


Crystalline Be2VCrW at its relaxed geometry. Source: Alexandria, functional GGA-PBE.

Computed properties:
D(E_F)	0.67	states/eV/atom

Geometry as CIF:
```
data_Be2VCrW
_symmetry_space_group_name_H-M 'P 4/m m m'
_symmetry_Int_Tables_number 123
_symmetry_space_group_name_Hall '-P 4 2'
_cell_length_a 4.116
_cell_length_b 4.116
_cell_length_c 3.879
_cell_angle_alpha 90.00
_cell_angle_beta 90.00
_cell_angle_gamma 90.00
loop_
_atom_site_label
_atom_site_type_symbol
_atom_site_fract_x
_atom_site_fract_y
_atom_site_fract_z
Be1 Be 0.000 0.500 0.000
V1 V 0.000 0.000 0.000
Cr1 Cr 0.000 0.000 0.500
W1 W 0.500 0.500 0.500
```


Crystalline YBeVCr2 at its relaxed geometry. Source: Alexandria, functional GGA-PBE.

Computed properties:
D(E_F)	1.87	states/eV/atom

Geometry as CIF:
```
data_YBeVCr2
_symmetry_space_group_name_H-M 'P 4/m m m'
_symmetry_Int_Tables_number 123
_symmetry_space_group_name_Hall '-P 4 2'
_cell_length_a 4.089
_cell_length_b 4.089
_cell_length_c 4.790
_cell_angle_alpha 90.00
_cell_angle_beta 90.00
_cell_angle_gamma 90.00
loop_
_atom_site_label
_atom_site_type_symbol
_atom_site_fract_x
_atom_site_fract_y
_atom_site_fract_z
Y1 Y 0.000 0.000 0.000
Be1 Be 0.000 0.000 0.500
V1 V 0.500 0.500 0.000
Cr1 Cr 0.000 0.500 0.500
```


Crystalline BeCrW2 at its relaxed geometry. Source: Alexandria, functional GGA-PBE.

Computed properties:
D(E_F)	0.88	states/eV/atom

Geometry as CIF:
```
data_BeCrW2
_symmetry_space_group_name_H-M 'R 3 m'
_symmetry_Int_Tables_number 160
_symmetry_space_group_name_Hall 'R 3 -2"'
_cell_length_a 2.7085
_cell_length_b 2.7085
_cell_length_c 26.3866
_cell_angle_alpha 90.00
_cell_angle_beta 90.00
_cell_angle_gamma 120.00
loop_
_atom_site_label
_atom_site_type_symbol
_atom_site_fract_x
_atom_site_fract_y
_atom_site_fract_z
Be1 Be 0.0000 0.0000 0.0000
Cr1 Cr 0.0000 0.0000 0.7385
W1 W 0.0000 0.0000 0.2544
W2 W 0.0000 0.0000 0.4933
```


Crystalline BeCrW at its relaxed geometry. Source: Alexandria, functional GGA-PBE.

Computed properties:
polymorph energy (0 for the lowest one)	1.024	eV per atom
D(E_F)	0.93	states/eV/atom

Geometry as CIF:
```
data_BeCrW
_symmetry_space_group_name_H-M 'F -4 3 m'
_symmetry_Int_Tables_number 216
_symmetry_space_group_name_Hall 'F -4 2 3'
_cell_length_a 5.669
_cell_length_b 5.669
_cell_length_c 5.669
_cell_angle_alpha 90.00
_cell_angle_beta 90.00
_cell_angle_gamma 90.00
loop_
_atom_site_label
_atom_site_type_symbol
_atom_site_fract_x
_atom_site_fract_y
_atom_site_fract_z
Be1 Be 0.000 0.000 0.000
Cr1 Cr 0.000 0.000 0.500
W1 W 0.250 0.250 0.750
```


Crystalline BeCrW at its relaxed geometry. Source: Alexandria, functional GGA-PBE.

Computed properties:
polymorph energy (0 for the lowest one)	0.124	eV per atom
D(E_F)	0.45	states/eV/atom

Geometry as CIF:
```
data_BeCrW
_symmetry_space_group_name_H-M 'I m m 2'
_symmetry_Int_Tables_number 44
_cell_length_a 2.553
_cell_length_b 3.859
_cell_length_c 7.675
_cell_angle_alpha 90.00
_cell_angle_beta 90.00
_cell_angle_gamma 90.00
loop_
_symmetry_equiv_pos_as_xyz
'x,y,z'
'-x,-y,z'
'-x,y,z'
'x,-y,z'
'x+1/2,y+1/2,z+1/2'
'-x+1/2,-y+1/2,z+1/2'
'-x+1/2,y+1/2,z+1/2'
'x+1/2,-y+1/2,z+1/2'
loop_
_atom_site_label
_atom_site_type_symbol
_atom_site_fract_x
_atom_site_fract_y
_atom_site_fract_z
Be1 Be 0.000 0.000 0.000
Cr1 Cr 0.000 0.000 0.656
W1 W 0.000 0.000 0.333
```


Crystalline BeCrW2 at its relaxed geometry. Source: Alexandria, functional GGA-PBE.

Computed properties:
D(E_F)	0.72	states/eV/atom

Geometry as CIF:
```
data_BeCrW2
_symmetry_space_group_name_H-M 'F -4 3 m'
_symmetry_Int_Tables_number 216
_symmetry_space_group_name_Hall 'F -4 2 3'
_cell_length_a 6.057
_cell_length_b 6.057
_cell_length_c 6.057
_cell_angle_alpha 90.00
_cell_angle_beta 90.00
_cell_angle_gamma 90.00
loop_
_atom_site_label
_atom_site_type_symbol
_atom_site_fract_x
_atom_site_fract_y
_atom_site_fract_z
Be1 Be 0.000 0.000 0.000
Cr1 Cr 0.250 0.250 0.250
W1 W 0.000 0.000 0.500
W2 W 0.250 0.250 0.750
```


Crystalline BeCrW3 at its relaxed geometry. Source: Alexandria, functional GGA-PBE.

Computed properties:
polymorph energy (0 for the lowest one)	0.750	eV per atom
D(E_F)	1.16	states/eV/atom

Geometry as CIF:
```
data_BeCrW3
_symmetry_space_group_name_H-M 'P m -3 m'
_symmetry_Int_Tables_number 221
_symmetry_space_group_name_Hall '-P 4 2 3'
_cell_length_a 4.472
_cell_length_b 4.472
_cell_length_c 4.472
_cell_angle_alpha 90.00
_cell_angle_beta 90.00
_cell_angle_gamma 90.00
loop_
_atom_site_label
_atom_site_type_symbol
_atom_site_fract_x
_atom_site_fract_y
_atom_site_fract_z
Be1 Be 0.000 0.000 0.000
Cr1 Cr 0.500 0.500 0.500
W1 W 0.000 0.500 0.500
```


In eV/atom, the energy of formation from the pure elements values for the records above are, in order, -0.064 0.496 1.089 -0.080 -0.248 1.294 1.139 0.499 1.135 0.235 0.302 1.767.